[1]
{"formula": "Li2CuAg", "functional": "GGA-PBEsol", "state": "optimized geometry", "dft_energy_ev_per_fu": -11.78, "ef_ev_per_atom": -0.05, "crystal_system": "monoclinic", "total_magnetization_mub_per_cell": 0.00, "lattice": [[2.715, -3.757, 0.000], [2.715, 3.757, 0.000], [-0.011, 0.000, 2.718]], "species": ["Li", "Li", "Cu", "Ag"], "fractional_positions": [[0.000, 0.500, 0.000], [0.500, 0.000, 0.000], [0.000, 0.000, 0.500], [0.500, 0.500, 0.500]]}

=====

[2]
{"formula": "Ba6Bi13Se26", "functional": "GGA-PBEsol", "state": "optimized geometry", "dft_energy_ev_per_fu": -205.68, "crystal_system": "monoclinic", "total_magnetization_mub_per_cell": 0.00, "lattice": [[17.158, 0.000, 0.000], [0.000, 4.240, 0.000], [-0.273, 0.000, 18.371]], "species": ["Ba", "Ba", "Ba", "Ba", "Ba", "Ba", "Bi", "Bi", "Bi", "Bi", "Bi", "Bi", "Bi", "Bi", "Bi", "Bi", "Bi", "Bi", "Bi", "Se", "Se", "Se", "Se", "Se", "Se", "Se", "Se", "Se", "Se", "Se", "Se", "Se", "Se", "Se", "Se", "Se", "Se", "Se", "Se", "Se", "Se", "Se", "Se", "Se", "Se"], "fractional_positions": [[0.000, 0.000, 0.000], [0.010, 0.500, 0.555], [0.234, 0.500, 0.392], [0.267, 0.000, 0.078], [0.482, 0.000, 0.909], [0.509, 0.500, 0.468], [0.058, 0.000, 0.779], [0.075, 0.500, 0.213], [0.241, 0.000, 0.618], [0.257, 0.500, 0.847], [0.424, 0.000, 0.260], [0.440, 0.500, 0.690], [0.577, 0.500, 0.123], [0.650, 0.000, 0.710], [0.672, 0.000, 0.325], [0.737, 0.000, 0.987], [0.829, 0.500, 0.169], [0.846, 0.500, 0.753], [0.918, 0.000, 0.366], [0.029, 0.500, 0.373], [0.122, 0.500, 0.069], [0.143, 0.000, 0.499], [0.145, 0.500, 0.700], [0.169, 0.000, 0.907], [0.178, 0.000, 0.248], [0.321, 0.500, 0.221], [0.330, 0.500, 0.559], [0.352, 0.000, 0.767], [0.354, 0.500, 0.967], [0.378, 0.000, 0.402], [0.473, 0.000, 0.095], [0.517, 0.000, 0.609], [0.553, 0.500, 0.287], [0.560, 0.500, 0.793], [0.618, 0.500, 0.974], [0.652, 0.000, 0.464], [0.709, 0.000, 0.144], [0.732, 0.500, 0.638], [0.767, 0.000, 0.830], [0.793, 0.500, 0.323], [0.851, 0.500, 0.011], [0.878, 0.000, 0.503], [0.933, 0.000, 0.675], [0.945, 0.000, 0.179], [0.983, 0.500, 0.860]]}

=====

[3]
{"formula": "Fe2IrW", "functional": "GGA-PBEsol", "state": "optimized geometry", "dft_energy_ev_per_fu": -41.25, "ef_ev_per_atom": 0.08, "crystal_system": "tetragonal", "total_magnetization_mub_per_cell": 0.00, "lattice": [[2.624, 0.000, 0.000], [0.000, 2.624, 0.000], [0.000, 0.000, 7.243]], "species": ["Fe", "Fe", "Ir", "W"], "fractional_positions": [[0.000, 0.000, 0.241], [0.000, 0.000, 0.759], [0.500, 0.500, 0.000], [0.500, 0.500, 0.500]]}